Below is a relaxed CsBa2SnIr crystal, with properties calculated at the PBE level.

Calculated formation energy: -0.16 eV/atom
SG: P4/mmm

```
CsBa2SnIr
1.0
-3.067 -5.291 -1.351
5.377 -3.196 0.309
-0.802 -0.851 5.152
Cs Ir Ba Sn
1 1 2 1
Direct
0.500 0.500 0.500
0.000 0.000 0.000
0.000 0.500 0.000
0.500 0.000 0.000
0.000 0.000 0.500
```

***

Below is a relaxed LiPmNi2 crystal, with properties calculated at the PBE level.

Calculated formation energy: -0.14 eV/atom
SG: R-3m
E above lowest polymorph: 0.000 eV/atom

```
LiPmNi2
1.0
4.125 0.000 0.000
2.063 3.572 0.000
2.063 1.191 4.682
Ni Li Pm
2 1 1
Direct
0.800 0.800 0.600
0.200 0.200 0.400
0.500 0.500 0.500
0.000 0.000 0.000
```

***

Below is a relaxed AgGe3I crystal, with properties calculated at the PBE level.

Energy relative to the elements, uncorrected: 3.26 eV per formula unit
SG: Pm-3m
E above lowest polymorph: 0.000 eV/atom

```
AgGe3I
1.0
-0.230 0.518 -5.112
-5.026 -1.088 0.116
-1.070 5.000 0.555
I Ge Ag
1 3 1
Direct
0.500 0.500 0.500
0.000 0.500 0.000
0.000 0.000 0.500
0.500 0.000 0.000
0.000 0.000 0.000
```

***

Below is a relaxed InN2Cl2 crystal, with properties calculated at the PBE level.

Energy relative to the elements, uncorrected: 6.52 eV per formula unit
SG: I4_1/amd

```
InN2Cl2
1.0
-12.865 -4.767 3.861
-14.241 -0.193 0.535
13.488 0.756 -4.542
In N Cl
2 4 4
Direct
0.500 0.500 0.000
0.250 0.750 0.500
0.781 0.781 0.000
0.531 0.031 0.500
0.969 0.469 0.500
0.219 0.219 0.000
0.430 0.930 0.500
0.680 0.680 0.000
0.320 0.320 0.000
0.070 0.570 0.500
```

***

Table of D(E_F) (states/eV per atom), in record order: 0.847 0.678 0.861 0.481
Table of density (g/cm³), in record order: 5.8 6.5 5.5 3.0